SrTc2Rh after structural relaxation. Source: Alexandria, functional PBE-GGA.

Cell lengths 5.3101, 9.6412, 2.7740 Å; angles 90.00, 90.00, 90.00 degrees
Closest atoms and distances in Å follow each position.
Sites, in units of the cell vectors:
Sr (0.0000, 0.0000, 0.0000)  2 Rh 2.66, 2 Sr 2.77
Sr (0.5000, 0.5000, 0.0000)  2 Rh 2.66, 2 Sr 2.77
Tc (0.2500, 0.2500, 0.5000)  4 Tc 2.66-2.77
Tc (0.2500, 0.7500, 0.5000)  4 Tc 2.66-2.77
Tc (0.7500, 0.2500, 0.5000)  4 Tc 2.66-2.77
Tc (0.7500, 0.7500, 0.5000)  4 Tc 2.66-2.77
Rh (0.0000, 0.5000, 0.0000)  2 Sr 2.66, 2 Rh 2.77
Rh (0.5000, 0.0000, 0.0000)  2 Sr 2.66, 2 Rh 2.77

Calculated values
total magnetic moment = 0.0 μB/f.u.
SG = Cmmm (65)
energy of formation from the pure elements = 0.810 eV/atom
raw total energy = -0.2437 Ha/atom
polymorph energy (0 for the lowest one) = 0.4781 eV per atom


MgNiSe after structural relaxation. Source: Alexandria, functional PBE-GGA.

Cell lengths 7.3435, 3.9528, 7.3880 Å; angles 90.00, 106.39, 90.00 degrees
Closest atoms and distances in Å follow each position.
Sites, in units of the cell vectors:
Mg (0.0000, 0.0000, 0.0000)  4 Ni 2.50-2.68, 3 Se 2.67-2.72
Mg (0.0290, 0.5000, 0.5776)  4 Ni 2.75-3.06, 6 Se 2.86-2.93
Mg (0.5000, 0.5000, 0.0000)  4 Ni 2.50-2.68, 3 Se 2.67-2.72
Mg (0.5290, 0.0000, 0.5776)  4 Ni 2.75-3.06, 6 Se 2.86-2.93
Ni (0.1097, 0.0000, 0.3528)  3 Se 2.31-2.40, 1 Mg 2.50
Ni (0.3671, 0.0000, 0.1731)  3 Se 2.49-2.50, 3 Ni 2.60-2.74, 3 Mg 2.64-2.68
Ni (0.6097, 0.5000, 0.3528)  3 Se 2.31-2.40, 1 Mg 2.50
Ni (0.8671, 0.5000, 0.1731)  3 Se 2.49-2.50, 3 Ni 2.60-2.74, 3 Mg 2.64-2.68
Se (0.2763, 0.0000, 0.8200)  1 Ni 2.50, 3 Mg 2.67-2.72
Se (0.2932, 0.5000, 0.3451)  5 Ni 2.31-2.49
Se (0.7763, 0.5000, 0.8200)  1 Ni 2.50, 3 Mg 2.67-2.72
Se (0.7932, 0.0000, 0.3451)  5 Ni 2.31-2.49

Calculated values
ΔE_f (raw) = -0.444 eV per atom
total magnetic moment = 0.0 μB/f.u.
SG = Cm (8)
raw total energy = -0.1494 Ha/atom


LaCrFe after structural relaxation. Source: Alexandria, functional PBE-GGA.

Cell lengths 3.8063, 3.8063, 4.7141 Å; angles 90.00, 90.00, 120.00 degrees
Closest atoms and distances in Å follow each position.
Sites, in units of the cell vectors:
La (0.0000, 0.0000, 0.0000)  6 Fe 3.13-3.32, 6 Cr 3.17-3.28
Cr (0.3333, 0.6667, 0.4840)  3 Fe 2.21
Fe (0.6667, 0.3333, 0.5270)  3 Cr 2.21

Calculated values
total magnetic moment = 0.0 μB/f.u.
SG = P3m1 (156)
energy of formation from the pure elements = 0.327 eV/atom
raw total energy = -0.2699 Ha/atom
polymorph energy (0 for the lowest one) = 0.0000 eV per atom


YLuGaAu after structural relaxation. Source: Alexandria, functional PBE-GGA.

Cell lengths 7.1408, 7.1408, 7.1408 Å; angles 90.00, 90.00, 90.00 degrees
Closest atoms and distances in Å follow each position.
Sites, in units of the cell vectors:
Y (0.0000, 0.0000, 0.0000)  4 Au 3.09, 4 Ga 3.09
Y (0.0000, 0.5000, 0.5000)  4 Au 3.09, 4 Ga 3.09
Y (0.5000, 0.0000, 0.5000)  4 Au 3.09, 4 Ga 3.09
Y (0.5000, 0.5000, 0.0000)  4 Au 3.09, 4 Ga 3.09
Lu (0.0000, 0.0000, 0.5000)  4 Ga 3.09, 4 Au 3.09
Lu (0.0000, 0.5000, 0.0000)  4 Ga 3.09, 4 Au 3.09
Lu (0.5000, 0.0000, 0.0000)  4 Ga 3.09, 4 Au 3.09
Lu (0.5000, 0.5000, 0.5000)  4 Ga 3.09, 4 Au 3.09
Ga (0.2500, 0.2500, 0.2500)  4 Y 3.09, 4 Lu 3.09
Ga (0.2500, 0.7500, 0.7500)  4 Y 3.09, 4 Lu 3.09
Ga (0.7500, 0.2500, 0.7500)  4 Y 3.09, 4 Lu 3.09
Ga (0.7500, 0.7500, 0.2500)  4 Y 3.09, 4 Lu 3.09
Au (0.2500, 0.2500, 0.7500)  4 Y 3.09, 4 Lu 3.09
Au (0.2500, 0.7500, 0.2500)  4 Y 3.09, 4 Lu 3.09
Au (0.7500, 0.2500, 0.2500)  4 Y 3.09, 4 Lu 3.09
Au (0.7500, 0.7500, 0.7500)  4 Y 3.09, 4 Lu 3.09

Calculated values
total magnetic moment = 0.0 μB/f.u.
SG = F-43m (216)
energy of formation from the pure elements = -0.714 eV/atom
raw total energy = -0.1851 Ha/atom


Dy2MgTa2Rh5 after structural relaxation. Source: Alexandria, functional PBE-GGA.

Cell lengths 10.6858, 10.6858, 3.2497 Å; angles 90.00, 90.00, 90.00 degrees
Closest atoms and distances in Å follow each position.
Sites, in units of the cell vectors:
Dy (0.1694, 0.3306, 0.0000)  1 Ta 2.92, 6 Rh 3.03-3.21, 2 Dy 3.25
Dy (0.3306, 0.8306, 0.0000)  1 Ta 2.92, 6 Rh 3.03-3.21, 2 Dy 3.25
Dy (0.6694, 0.1694, 0.0000)  1 Ta 2.92, 6 Rh 3.03-3.21, 2 Dy 3.25
Dy (0.8306, 0.6694, 0.0000)  1 Ta 2.92, 6 Rh 3.03-3.21, 2 Dy 3.25
Mg (0.0000, 0.0000, 0.0000)  8 Rh 2.73
Mg (0.5000, 0.5000, 0.0000)  8 Rh 2.73
Ta (0.1377, 0.6377, 0.0000)  6 Rh 2.55-2.64
Ta (0.3623, 0.1377, 0.0000)  6 Rh 2.55-2.64
Ta (0.6377, 0.8623, 0.0000)  6 Rh 2.55-2.64
Ta (0.8623, 0.3623, 0.0000)  6 Rh 2.55-2.64
Rh (0.0000, 0.5000, 0.5000)  4 Ta 2.64
Rh (0.0538, 0.8018, 0.5000)  2 Ta 2.55, 2 Mg 2.73
Rh (0.1982, 0.0538, 0.5000)  2 Ta 2.55, 2 Mg 2.73
Rh (0.3018, 0.5538, 0.5000)  2 Ta 2.55, 2 Mg 2.73
Rh (0.4462, 0.3018, 0.5000)  2 Ta 2.55, 2 Mg 2.73
Rh (0.5000, 0.0000, 0.5000)  4 Ta 2.64
Rh (0.5538, 0.6982, 0.5000)  2 Ta 2.55, 2 Mg 2.73
Rh (0.6982, 0.4462, 0.5000)  2 Ta 2.55, 2 Mg 2.73
Rh (0.8018, 0.9462, 0.5000)  2 Ta 2.55, 2 Mg 2.73
Rh (0.9462, 0.1982, 0.5000)  2 Ta 2.55, 2 Mg 2.73

Calculated values
total magnetic moment = 0.0 μB/f.u.
SG = P4/mbm (127)
energy of formation from the pure elements = -0.436 eV/atom
raw total energy = -0.2779 Ha/atom


Ta2CuHg2S6 after structural relaxation. Source: Alexandria, functional PBE-GGA.

Cell lengths 6.0759, 6.0759, 9.3109 Å; angles 97.67, 97.67, 121.47 degrees
Closest atoms and distances in Å follow each position.
Sites, in units of the cell vectors:
Ta (0.1635, 0.8365, 0.0000)  6 S 2.44-2.47
Ta (0.8365, 0.1635, 0.0000)  6 S 2.44-2.47
Cu (0.5000, 0.5000, 0.0000)  6 S 2.46-2.51
Hg (0.2501, 0.7499, 0.5000)  2 Hg 2.97, 2 S 3.18
Hg (0.7499, 0.2501, 0.5000)  2 Hg 2.97, 2 S 3.18
S (0.0950, 0.0950, 0.8389)  2 Ta 2.46, 1 Cu 2.46
S (0.2308, 0.5730, 0.1595)  2 Ta 2.44-2.47, 1 Cu 2.51
S (0.4270, 0.7692, 0.8405)  2 Ta 2.44-2.47, 1 Cu 2.51
S (0.5730, 0.2308, 0.1595)  2 Ta 2.44-2.47, 1 Cu 2.51
S (0.7692, 0.4270, 0.8405)  2 Ta 2.44-2.47, 1 Cu 2.51
S (0.9050, 0.9050, 0.1611)  2 Ta 2.46, 1 Cu 2.46

Calculated values
ΔE_f (raw) = -0.556 eV per atom
total magnetic moment = 0.0 μB/f.u.
SG = C2/m (12)
raw total energy = -0.1981 Ha/atom


Q: Which of these has the highest raw total energy?
A: MgNiSe


What did the fourth record say?
YLuGaAu after structural relaxation. Source: Alexandria, functional PBE-GGA.

Cell lengths 7.1408, 7.1408, 7.1408 Å; angles 90.00, 90.00, 90.00 degrees
Closest atoms and distances in Å follow each position.
Sites, in units of the cell vectors:
Y (0.0000, 0.0000, 0.0000)  4 Au 3.09, 4 Ga 3.09
Y (0.0000, 0.5000, 0.5000)  4 Au 3.09, 4 Ga 3.09
Y (0.5000, 0.0000, 0.5000)  4 Au 3.09, 4 Ga 3.09
Y (0.5000, 0.5000, 0.0000)  4 Au 3.09, 4 Ga 3.09
Lu (0.0000, 0.0000, 0.5000)  4 Ga 3.09, 4 Au 3.09
Lu (0.0000, 0.5000, 0.0000)  4 Ga 3.09, 4 Au 3.09
Lu (0.5000, 0.0000, 0.0000)  4 Ga 3.09, 4 Au 3.09
Lu (0.5000, 0.5000, 0.5000)  4 Ga 3.09, 4 Au 3.09
Ga (0.2500, 0.2500, 0.2500)  4 Y 3.09, 4 Lu 3.09
Ga (0.2500, 0.7500, 0.7500)  4 Y 3.09, 4 Lu 3.09
Ga (0.7500, 0.2500, 0.7500)  4 Y 3.09, 4 Lu 3.09
Ga (0.7500, 0.7500, 0.2500)  4 Y 3.09, 4 Lu 3.09
Au (0.2500, 0.2500, 0.7500)  4 Y 3.09, 4 Lu 3.09
Au (0.2500, 0.7500, 0.2500)  4 Y 3.09, 4 Lu 3.09
Au (0.7500, 0.2500, 0.2500)  4 Y 3.09, 4 Lu 3.09
Au (0.7500, 0.7500, 0.7500)  4 Y 3.09, 4 Lu 3.09

Calculated values
total magnetic moment = 0.0 μB/f.u.
SG = F-43m (216)
energy of formation from the pure elements = -0.714 eV/atom
raw total energy = -0.1851 Ha/atom